No. 1
BaZnSe2Br after structural relaxation, computed with PBE-GGA.

Its polymorph energy (0 for the lowest one) is 0.925 eV/atom. Its uncorrected formation energy is -119 meV/atom. The calculation puts the density of states at the Fermi level at 4.4 states/eV per cell. The value obtained for the calculated volume is 54.1 Å³/atom.

It has space group P4/mmm (No. 123), with a = 6.577 Å, b = 6.577 Å, c = 6.253 Å, α = 90.00°, β = 90.00° and γ = 90.00°. The distinct sites, in fractional coordinates, are Ba at (0.000, 0.000, 0.000), Zn at (0.500, 0.500, 0.500), Se at (0.000, 0.500, 0.000) and Br at (0.000, 0.000, 0.500).

---

No. 2
Y3HfCu after structural relaxation, computed with PBE-GGA.

For the energy relative to the elements, the calculation gives 0.935 eV/atom. Its polymorph energy (0 for the lowest one) is 0.516 eV/atom. The calculation puts the density of states at the Fermi level at 2.2 states/eV per cell. The value obtained for the calculated volume is 33.9 Å³/atom.

It has space group Pm-3m (No. 221), with a = 5.533 Å, b = 5.533 Å, c = 5.533 Å, α = 90.00°, β = 90.00° and γ = 90.00°. The distinct sites, in fractional coordinates, are Y at (0.000, 0.000, 0.500), Hf at (0.000, 0.000, 0.000) and Cu at (0.500, 0.500, 0.500).

---

No. 3
MgHPd3 after structural relaxation, computed with PBE-GGA.

Its polymorph energy (0 for the lowest one) is 0.220 eV/atom. The calculation puts the density of states at the Fermi level at 9.1 states/eV per cell. The value obtained for the calculated volume is 14.8 Å³/atom.

It has space group Fd-3m (No. 227, origin choice 2), with a = 10.591 Å, b = 10.591 Å, c = 10.591 Å, α = 90.00°, β = 90.00° and γ = 90.00°. The distinct sites, in fractional coordinates, are Mg at (0.000, 0.000, 0.000), H at (0.000, 0.000, 0.500) and Pd at (0.067, 0.375, 0.875).